The following is a DFT calculation (GGA-PBE) of an optimized crystal structure of TaMo2Au.

Cell and atoms, written as extended XYZ:
```
8
Lattice="3.433 0.000 0.000 0.000 4.452 0.000 0.000 0.000 8.847" Properties=species:S:1:pos:R:3 pbc="T T T"
Ta 0.000 0.000 0.000
Ta 1.717 2.226 4.424
Mo 0.000 2.226 2.321
Mo 0.000 2.226 6.526
Mo 1.717 0.000 2.102
Mo 1.717 0.000 6.745
Au 0.000 0.000 4.424
Au 1.717 2.226 0.000
```

Properties
Density of states at the Fermi level: 0.96 states/eV per atom
Symmetry: Immm, No. 71
Energy above the lowest structure with this stoichiometry: 125 meV per atom